This record from Alexandria describes CuAs3 after structural relaxation. The functional is PBE.

Lattice parameters (Å, degrees): 5.972 9.628 5.983 90.00 90.00 90.00
Atoms (fractional coordinates):
1 Cu 0.109 0.250 0.025
2 Cu 0.391 0.750 0.525
3 Cu 0.609 0.250 0.475
4 Cu 0.891 0.750 0.975
5 As 0.008 0.750 0.365
6 As 0.249 0.120 0.368
7 As 0.249 0.380 0.368
8 As 0.251 0.620 0.868
9 As 0.251 0.880 0.868
10 As 0.492 0.250 0.865
11 As 0.508 0.750 0.135
12 As 0.749 0.120 0.132
13 As 0.749 0.380 0.132
14 As 0.751 0.620 0.632
15 As 0.751 0.880 0.632
16 As 0.992 0.250 0.635

Properties
polymorph energy (0 for the lowest one): 24 meV/atom
magnetization: 0.00 μB per cell
ΔH_f (0 K): 0.169 eV/atom

This record from Alexandria describes CuAs3 after structural relaxation. The functional is PBE.

Lattice parameters (Å, degrees): 3.826 3.826 5.304 90.00 90.00 90.00
Atoms (fractional coordinates):
1 Cu 0.000 0.000 0.000
2 As 0.000 0.500 0.660
3 As 0.500 0.000 0.340
4 As 0.500 0.500 0.000

Properties
polymorph energy (0 for the lowest one): 108 meV/atom
magnetization: 0.00 μB per cell
ΔH_f (0 K): 0.253 eV/atom

This record from Alexandria describes CuAs3 after structural relaxation. The functional is PBE.

Lattice parameters (Å, degrees): 4.146 4.146 4.146 90.00 90.00 90.00
Atoms (fractional coordinates):
1 Cu 0.000 0.000 0.000
2 As 0.000 0.500 0.500
3 As 0.500 0.000 0.500
4 As 0.500 0.500 0.000

Properties
polymorph energy (0 for the lowest one): 315 meV/atom
magnetization: 0.00 μB per cell
ΔH_f (0 K): 0.461 eV/atom

This record from Alexandria describes CuAs2 after structural relaxation. The functional is PBE.

Lattice parameters (Å, degrees): 4.264 4.264 4.264 119.30 119.30 91.22
Atoms (fractional coordinates):
1 Cu 0.000 0.000 0.000
2 As 0.250 0.750 0.500
3 As 0.750 0.250 0.500

Properties
magnetization: 0.00 μB per cell
ΔH_f (0 K): 0.154 eV/atom

This record from Alexandria describes CuAs3 after structural relaxation. The functional is PBE.

Lattice parameters (Å, degrees): 5.003 5.003 2.805 90.00 90.00 90.00
Atoms (fractional coordinates):
1 Cu 0.000 0.000 0.000
2 As 0.000 0.500 0.500
3 As 0.500 0.000 0.500
4 As 0.500 0.500 0.000

Properties
polymorph energy (0 for the lowest one): 237 meV/atom
magnetization: 0.00 μB per cell
ΔH_f (0 K): 0.382 eV/atom

This record from Alexandria describes Cu2As3 after structural relaxation. The functional is PBE.

Lattice parameters (Å, degrees): 9.216 7.843 11.963 50.37 40.96 88.68
Atoms (fractional coordinates):
1 Cu 0.164 0.836 0.374
2 Cu 0.624 0.876 0.414
3 Cu 0.836 0.164 0.626
4 Cu 0.876 0.624 0.086
5 As 0.134 0.463 0.051
6 As 0.141 0.141 0.859
7 As 0.199 0.899 0.116
8 As 0.391 0.391 0.109
9 As 0.463 0.134 0.351
10 As 0.899 0.199 0.787

Properties
magnetization: 0.00 μB per cell
ΔH_f (0 K): 0.158 eV/atom

This record from Alexandria describes CuAs3 after structural relaxation. The functional is PBE.

Lattice parameters (Å, degrees): 2.762 3.680 7.306 90.00 92.57 90.00
Atoms (fractional coordinates):
1 Cu 0.000 0.000 0.000
2 As 0.000 0.000 0.500
3 As 0.035 0.500 0.771
4 As 0.965 0.500 0.229

Properties
polymorph energy (0 for the lowest one): 12 meV/atom
magnetization: 0.00 μB per cell
ΔH_f (0 K): 0.157 eV/atom

This record from Alexandria describes CuAs2 after structural relaxation. The functional is PBE.

Lattice parameters (Å, degrees): 4.751 4.751 2.722 90.00 90.00 120.00
Atoms (fractional coordinates):
1 Cu 0.000 0.000 0.000
2 As 0.333 0.667 0.000
3 As 0.667 0.333 0.000

Properties
magnetization: 0.00 μB per cell
ΔH_f (0 K): 0.280 eV/atom